(1)
Material: Ba2MgSbPd6
Method: DFT, PBE
State: optimized geometry

Calculated values
space-group type = C2/m (12)
formation energy from raw total energies = -0.5444 eV per atom

a = 7.0512 Å, b = 7.0512 Å, c = 8.7950 Å
α = 128.00°, β = 128.00°, γ = 49.02°
Closest atoms and distances in Å follow each position.
Element x y z (fractional)
Ba 0.2453 0.2453 0.2037  11 Pd 3.36-3.69, 2 Mg 3.75
Ba 0.7547 0.7547 0.7963  11 Pd 3.36-3.69, 2 Mg 3.75
Mg 0.5000 0.5000 0.0000  6 Pd 2.67-2.68
Sb 0.0000 0.0000 0.5000  6 Pd 2.62-2.70
Pd 0.2399 0.7143 0.7177  1 Sb 2.62, 1 Mg 2.68, 3 Pd 2.71-2.80
Pd 0.2531 0.2531 0.6075  1 Mg 2.67, 1 Sb 2.70, 4 Pd 2.71-2.80
Pd 0.2857 0.7601 0.2823  1 Sb 2.62, 1 Mg 2.68, 3 Pd 2.71-2.80
Pd 0.7143 0.2399 0.7177  1 Sb 2.62, 1 Mg 2.68, 3 Pd 2.71-2.80
Pd 0.7469 0.7469 0.3925  1 Mg 2.67, 1 Sb 2.70, 4 Pd 2.71-2.80
Pd 0.7601 0.2857 0.2823  1 Sb 2.62, 1 Mg 2.68, 3 Pd 2.71-2.80

(2)
Material: KTcBr3
Method: DFT, PBE
State: optimized geometry

Calculated values
distance to the lowest polymorph of the same formula = 0 meV per atom
space-group type = P-1 (2)
formation energy from raw total energies = -0.8712 eV per atom

a = 5.1504 Å, b = 7.8161 Å, c = 9.4437 Å
α = 65.60°, β = 75.59°, γ = 89.98°
Closest atoms and distances in Å follow each position.
Element x y z (fractional)
K 0.1716 0.1735 0.1532  8 Br 3.38-3.65
K 0.8284 0.8265 0.8468  8 Br 3.38-3.65
Tc 0.3079 0.4540 0.5920  1 Tc 2.17
Tc 0.6921 0.5460 0.4080  1 Tc 2.17
Br 0.0003 0.2876 0.4996  2 Tc 2.57
Br 0.9997 0.7124 0.5004  2 Tc 2.57
Br 0.3475 0.1266 0.7999  1 Tc 2.55
Br 0.3476 0.5726 0.8004  1 Tc 2.55
Br 0.6524 0.4274 0.1996  1 Tc 2.55
Br 0.6525 0.8734 0.2001  1 Tc 2.55

(3)
Material: TlNiP2
Method: DFT, PBE
State: optimized geometry

Calculated values
distance to the lowest polymorph of the same formula = 0 meV per atom
space-group type = P2/m (10)

a = 4.0621 Å, b = 3.6850 Å, c = 5.4551 Å
α = 90.00°, β = 104.07°, γ = 90.00°
Closest atoms and distances in Å follow each position.
Element x y z (fractional)
Tl 0.0000 0.0000 0.0000  2 Ni 2.98, 4 P 3.17
Ni 0.5000 0.0000 0.5000  4 P 2.24
P 0.2645 0.5000 0.6165  1 P 2.21, 2 Ni 2.24
P 0.7355 0.5000 0.3835  1 P 2.21, 2 Ni 2.24

(4)
Material: La2TbPm3As6
Method: DFT, PBE
State: optimized geometry

Calculated values
space-group type = C2/m (12)

a = 9.5447 Å, b = 9.5447 Å, c = 8.5407 Å
α = 102.96°, β = 102.96°, γ = 25.86°
Closest atoms and distances in Å follow each position.
Element x y z (fractional)
La 0.1653 0.1653 0.3310  6 As 3.03-3.07
La 0.8347 0.8347 0.6690  6 As 3.03-3.07
Tb 0.5000 0.5000 0.0000  6 As 2.98-2.99
Pm 0.1668 0.1668 0.8342  6 As 2.99-3.05
Pm 0.5000 0.5000 0.5000  6 As 2.99-3.05
Pm 0.8332 0.8332 0.1658  6 As 2.99-3.05
As 0.0019 0.0019 0.7554  3 Pm 2.99-3.05, 2 Tb 2.99, 1 La 3.03
As 0.3347 0.3347 0.4133  3 Pm 2.99-3.00, 3 La 3.05-3.07
As 0.3353 0.3353 0.9223  1 Tb 2.98, 3 Pm 2.99-3.05, 2 La 3.04
As 0.6647 0.6647 0.0777  1 Tb 2.98, 3 Pm 2.99-3.05, 2 La 3.04
As 0.6653 0.6653 0.5867  3 Pm 2.99-3.00, 3 La 3.05-3.07
As 0.9981 0.9981 0.2446  3 Pm 2.99-3.05, 2 Tb 2.99, 1 La 3.03

(5)
Material: Co2Ir
Method: DFT, PBE
State: optimized geometry

Calculated values
distance to the lowest polymorph of the same formula = 32 meV per atom
space-group type = C2/m (12)

a = 8.0947 Å, b = 3.6680 Å, c = 5.1497 Å
α = 90.00°, β = 107.60°, γ = 90.00°
Closest atoms and distances in Å follow each position.
Element x y z (fractional)
Co 0.0000 0.0000 0.0000  6 Ir 2.57-2.60, 6 Co 2.57-2.61
Co 0.0000 0.0000 0.5000  8 Co 2.56-2.57, 4 Ir 2.57
Co 0.1670 0.5000 0.3385  5 Ir 2.53-2.62, 7 Co 2.56-2.61
Co 0.3330 0.0000 0.6615  5 Ir 2.53-2.62, 7 Co 2.56-2.61
Co 0.5000 0.5000 0.0000  6 Ir 2.57-2.60, 6 Co 2.57-2.61
Co 0.5000 0.5000 0.5000  8 Co 2.56-2.57, 4 Ir 2.57
Co 0.6670 0.0000 0.3385  5 Ir 2.53-2.62, 7 Co 2.56-2.61
Co 0.8330 0.5000 0.6615  5 Ir 2.53-2.62, 7 Co 2.56-2.61
Ir 0.1631 0.5000 0.8270  10 Co 2.53-2.62, 2 Ir 2.65
Ir 0.3369 0.0000 0.1730  10 Co 2.53-2.62, 2 Ir 2.65
Ir 0.6631 0.0000 0.8270  10 Co 2.53-2.62, 2 Ir 2.65
Ir 0.8369 0.5000 0.1730  10 Co 2.53-2.62, 2 Ir 2.65

(6)
Material: Cs4IBr3
Method: DFT, PBE
State: optimized geometry

Calculated values
space-group type = Cmmm (65)
formation energy from raw total energies = -1.7223 eV per atom

a = 10.6665 Å, b = 14.9940 Å, c = 5.2630 Å
α = 90.00°, β = 90.00°, γ = 90.00°
Closest atoms and distances in Å follow each position.
Element x y z (fractional)
Cs 0.0000 0.2442 0.0000  5 Br 3.66-3.75, 1 I 3.84
Cs 0.0000 0.7558 0.0000  5 Br 3.66-3.75, 1 I 3.84
Cs 0.2370 0.0000 0.5000  4 Br 3.65-3.75, 2 I 3.85
Cs 0.2630 0.5000 0.5000  4 Br 3.65-3.75, 2 I 3.85
Cs 0.5000 0.2558 0.0000  5 Br 3.66-3.75, 1 I 3.84
Cs 0.5000 0.7442 0.0000  5 Br 3.66-3.75, 1 I 3.84
Cs 0.7370 0.5000 0.5000  4 Br 3.65-3.75, 2 I 3.85
Cs 0.7630 0.0000 0.5000  4 Br 3.65-3.75, 2 I 3.85
I 0.0000 0.5000 0.0000  6 Cs 3.84-3.85
I 0.5000 0.0000 0.0000  6 Cs 3.84-3.85
Br 0.0000 0.0000 0.0000  6 Cs 3.65-3.66
Br 0.2500 0.2500 0.5000  6 Cs 3.75
Br 0.2500 0.7500 0.5000  6 Cs 3.75
Br 0.5000 0.5000 0.0000  6 Cs 3.65-3.66
Br 0.7500 0.2500 0.5000  6 Cs 3.75
Br 0.7500 0.7500 0.5000  6 Cs 3.75

(7)
Material: UCrTcSn
Method: DFT, PBE
State: optimized geometry

Calculated values
space-group type = F-43m (216)

a = 6.5993 Å, b = 6.5993 Å, c = 6.5993 Å
α = 90.00°, β = 90.00°, γ = 90.00°
Closest atoms and distances in Å follow each position.
Element x y z (fractional)
U 0.0000 0.0000 0.0000  4 Cr 2.86, 4 Tc 2.86
U 0.0000 0.5000 0.5000  4 Cr 2.86, 4 Tc 2.86
U 0.5000 0.0000 0.5000  4 Cr 2.86, 4 Tc 2.86
U 0.5000 0.5000 0.0000  4 Cr 2.86, 4 Tc 2.86
Cr 0.2500 0.2500 0.2500  4 Sn 2.86, 4 U 2.86
Cr 0.2500 0.7500 0.7500  4 Sn 2.86, 4 U 2.86
Cr 0.7500 0.2500 0.7500  4 Sn 2.86, 4 U 2.86
Cr 0.7500 0.7500 0.2500  4 Sn 2.86, 4 U 2.86
Tc 0.2500 0.2500 0.7500  4 Sn 2.86, 4 U 2.86
Tc 0.2500 0.7500 0.2500  4 Sn 2.86, 4 U 2.86
Tc 0.7500 0.2500 0.2500  4 Sn 2.86, 4 U 2.86
Tc 0.7500 0.7500 0.7500  4 Sn 2.86, 4 U 2.86
Sn 0.0000 0.0000 0.5000  4 Cr 2.86, 4 Tc 2.86
Sn 0.0000 0.5000 0.0000  4 Cr 2.86, 4 Tc 2.86
Sn 0.5000 0.0000 0.0000  4 Cr 2.86, 4 Tc 2.86
Sn 0.5000 0.5000 0.5000  4 Cr 2.86, 4 Tc 2.86

(8)
Material: Hf6GaSn
Method: DFT, PBE
State: optimized geometry

Calculated values
space-group type = C2/m (12)

a = 6.2022 Å, b = 11.0506 Å, c = 6.0384 Å
α = 90.00°, β = 118.56°, γ = 90.00°
Closest atoms and distances in Å follow each position.
Element x y z (fractional)
Hf 0.0046 0.2245 0.2580  1 Ga 2.89, 1 Sn 2.92, 6 Hf 2.95-3.15
Hf 0.0046 0.7755 0.2580  1 Ga 2.89, 1 Sn 2.92, 6 Hf 2.95-3.15
Hf 0.0136 0.5000 0.2584  1 Ga 2.65, 1 Sn 2.80
Hf 0.4864 0.0000 0.7416  1 Ga 2.65, 1 Sn 2.80
Hf 0.4954 0.2755 0.7420  1 Ga 2.89, 1 Sn 2.92, 6 Hf 2.95-3.15
Hf 0.4954 0.7245 0.7420  1 Ga 2.89, 1 Sn 2.92, 6 Hf 2.95-3.15
Hf 0.5046 0.2755 0.2580  1 Ga 2.89, 1 Sn 2.92, 6 Hf 2.95-3.15
Hf 0.5046 0.7245 0.2580  1 Ga 2.89, 1 Sn 2.92, 6 Hf 2.95-3.15
Hf 0.5136 0.0000 0.2584  1 Ga 2.65, 1 Sn 2.80
Hf 0.9864 0.5000 0.7416  1 Ga 2.65, 1 Sn 2.80
Hf 0.9954 0.2245 0.7420  1 Ga 2.89, 1 Sn 2.92, 6 Hf 2.95-3.15
Hf 0.9954 0.7755 0.7420  1 Ga 2.89, 1 Sn 2.92, 6 Hf 2.95-3.15
Ga 0.0000 0.0000 0.5000  6 Hf 2.65-2.89
Ga 0.5000 0.5000 0.5000  6 Hf 2.65-2.89
Sn 0.0000 0.0000 0.0000  6 Hf 2.80-2.92, 2 Ga 3.02
Sn 0.5000 0.5000 0.0000  6 Hf 2.80-2.92, 2 Ga 3.02

(9)
Material: CaTl2SnBr6
Method: DFT, PBE
State: optimized geometry

Calculated values
space-group type = P2_1/c (14)
formation energy from raw total energies = -1.1852 eV per atom

a = 7.7168 Å, b = 8.2261 Å, c = 13.5660 Å
α = 90.00°, β = 124.24°, γ = 90.00°
Closest atoms and distances in Å follow each position.
Element x y z (fractional)
Ca 0.0000 0.0000 0.0000  6 Br 2.91-2.93
Ca 0.0000 0.5000 0.5000  6 Br 2.91-2.93
Tl 0.2829 0.0809 0.7527  6 Br 3.32-3.60
Tl 0.2829 0.4191 0.2527  6 Br 3.32-3.60
Tl 0.7171 0.5809 0.7473  6 Br 3.32-3.60
Tl 0.7171 0.9191 0.2473  6 Br 3.32-3.60
Sn 0.5000 0.0000 0.5000  6 Br 3.00-3.01
Sn 0.5000 0.5000 0.0000  6 Br 3.00-3.01
Br 0.1298 0.0316 0.2464  1 Ca 2.91, 1 Sn 3.00
Br 0.1298 0.4684 0.7464  1 Ca 2.91, 1 Sn 3.00
Br 0.2432 0.6998 0.0583  1 Ca 2.93, 1 Sn 3.00
Br 0.2432 0.8002 0.5583  1 Ca 2.93, 1 Sn 3.00
Br 0.3630 0.1908 0.0552  1 Ca 2.92, 1 Sn 3.01
Br 0.3630 0.3092 0.5552  1 Ca 2.92, 1 Sn 3.01
Br 0.6370 0.6908 0.4448  1 Ca 2.92, 1 Sn 3.01
Br 0.6370 0.8092 0.9448  1 Ca 2.92, 1 Sn 3.01
Br 0.7568 0.1998 0.4417  1 Ca 2.93, 1 Sn 3.00
Br 0.7568 0.3002 0.9417  1 Ca 2.93, 1 Sn 3.00
Br 0.8702 0.5316 0.2536  1 Ca 2.91, 1 Sn 3.00
Br 0.8702 0.9684 0.7536  1 Ca 2.91, 1 Sn 3.00

(10)
Material: Sc2SiAu
Method: DFT, PBE
State: optimized geometry

Calculated values
space-group type = P4mm (99)
formation energy from raw total energies = -0.2792 eV per atom

a = 3.2300 Å, b = 3.2300 Å, c = 7.6233 Å
α = 90.00°, β = 90.00°, γ = 90.00°
Closest atoms and distances in Å follow each position.
Element x y z (fractional)
Sc 0.0000 0.0000 0.0000  4 Au 2.88
Sc 0.5000 0.5000 0.3290  4 Si 2.87
Si 0.0000 0.0000 0.5573  4 Au 2.80, 4 Sc 2.87
Au 0.5000 0.5000 0.7692  4 Si 2.80, 4 Sc 2.88

(11)
Material: In2SnPd
Method: DFT, PBE
State: optimized geometry

Calculated values
space-group type = R-3m (166)

a = 3.3236 Å, b = 3.3236 Å, c = 29.6985 Å
α = 90.00°, β = 90.00°, γ = 120.00°
Closest atoms and distances in Å follow each position.
Element x y z (fractional)
In 0.0000 0.0000 0.0993  3 Pd 2.77, 1 Sn 2.95
In 0.0000 0.0000 0.9007  3 Pd 2.77, 1 Sn 2.95
In 0.3333 0.6667 0.5674  3 Pd 2.77, 1 Sn 2.95
In 0.3333 0.6667 0.7660  3 Pd 2.77, 1 Sn 2.95
In 0.6667 0.3333 0.2340  3 Pd 2.77, 1 Sn 2.95
In 0.6667 0.3333 0.4326  3 Pd 2.77, 1 Sn 2.95
Sn 0.0000 0.0000 0.0000  2 In 2.95
Sn 0.3333 0.6667 0.6667  2 In 2.95
Sn 0.6667 0.3333 0.3333  2 In 2.95
Pd 0.0000 0.0000 0.5000  6 In 2.77
Pd 0.3333 0.6667 0.1667  6 In 2.77
Pd 0.6667 0.3333 0.8333  6 In 2.77

(12)
Material: K6Rb8Pt
Method: DFT, PBE
State: optimized geometry

Calculated values
space-group type = R-3 (148)

a = 10.8287 Å, b = 10.8287 Å, c = 10.8287 Å
α = 72.66°, β = 72.66°, γ = 72.66°
Closest atoms and distances in Å follow each position.
Element x y z (fractional)
K 0.1844 0.5994 0.4752  5 K 4.69-4.90, 7 Rb 4.77-5.00
K 0.4006 0.5248 0.8156  5 K 4.69-4.90, 7 Rb 4.77-5.00
K 0.4752 0.1844 0.5994  5 K 4.69-4.90, 7 Rb 4.77-5.00
K 0.5248 0.8156 0.4006  5 K 4.69-4.90, 7 Rb 4.77-5.00
K 0.5994 0.4752 0.1844  5 K 4.69-4.90, 7 Rb 4.77-5.00
K 0.8156 0.4006 0.5248  5 K 4.69-4.90, 7 Rb 4.77-5.00
Rb 0.0348 0.3063 0.8926  1 Pt 3.27
Rb 0.1074 0.9652 0.6937  1 Pt 3.27
Rb 0.2545 0.2545 0.2545  6 K 4.77-4.86, 6 Rb 4.95-4.98
Rb 0.3063 0.8926 0.0348  1 Pt 3.27
Rb 0.6937 0.1074 0.9652  1 Pt 3.27
Rb 0.7455 0.7455 0.7455  6 K 4.77-4.86, 6 Rb 4.95-4.98
Rb 0.8926 0.0348 0.3063  1 Pt 3.27
Rb 0.9652 0.6937 0.1074  1 Pt 3.27
Pt 0.0000 0.0000 0.0000  6 Rb 3.27

Number 1: total DFT energy (no corrections) -46.163 eV per cell. Number 2: total DFT energy (no corrections) -41.676 eV per cell. Number 3: total DFT energy (no corrections) -19.445 eV per cell. Number 4: total DFT energy (no corrections) -75.061 eV per cell. Number 5: total DFT energy (no corrections) -91.689 eV per cell. Number 6: total DFT energy (no corrections) -47.523 eV per cell. Number 7: total DFT energy (no corrections) -139.311 eV per cell. Number 8: total DFT energy (no corrections) -130.292 eV per cell. Number 9: total DFT energy (no corrections) -65.252 eV per cell. Number 10: total DFT energy (no corrections) -22.480 eV per cell. Number 11: total DFT energy (no corrections) -46.105 eV per cell. Number 12: total DFT energy (no corrections) -20.206 eV per cell.